[1]
LaZn2CrN: optimized geometry, PBE.

Calculated values
The value obtained for the mass density is 2668 kg/m3. The formation energy without anion corrections comes out at 2.178 eV/atom. As for the energy: -14.53 eV for the cell shown.

abc: 6.063 5.685 6.063
angles: 90.00 90.00 90.00
Sites, in units of the cell vectors:
Cr (0.000, 0.500, 0.000)
Zn (0.000, 0.000, 0.500)
Zn (0.500, 0.000, 0.000)
N (0.500, 0.500, 0.500)
La (0.000, 0.000, 0.000)

=====

[2]
Pr2PaZn: optimized geometry, PBE.

Calculated values
The calculated formation energy is 0.305 eV per atom. The value obtained for the excess energy over the best structure of this formula in the dataset is 282 meV/atom. The value obtained for the mass density is 8566 kg/m3. As for the energy: -19.11 eV for the cell shown.

abc: 3.338 3.338 11.776
angles: 81.85 81.85 60.00
Sites, in units of the cell vectors:
Zn (0.500, 0.500, 0.500)
Pr (0.905, 0.905, 0.284)
Pr (0.095, 0.095, 0.716)
Pa (0.000, 0.000, 0.000)

=====

[3]
NdErCuIr: optimized geometry, PBE.

Calculated values
The calculated formation energy is -0.526 eV per atom. The value obtained for the excess energy over the best structure of this formula in the dataset is 0 meV/atom. The value obtained for the mass density is 10554 kg/m3. As for the energy: -24.39 eV for the cell shown.

abc: 3.888 4.333 5.644
angles: 90.00 110.15 90.00
Sites, in units of the cell vectors:
Cu (0.571, 0.500, 0.142)
Nd (0.143, 0.000, 0.286)
Er (0.865, 0.500, 0.730)
Ir (0.421, 0.000, 0.842)

=====

[4]
ZrTa2Pt: optimized geometry, PBE.

Calculated values
The calculated formation energy is -0.065 eV per atom. The value obtained for the mass density is 14238 kg/m3. As for the energy: -38.55 eV for the cell shown.

abc: 9.482 9.482 9.482
angles: 18.58 18.58 18.58
Sites, in units of the cell vectors:
Ta (0.005, 0.005, 0.005)
Ta (0.495, 0.495, 0.495)
Zr (0.250, 0.250, 0.250)
Pt (0.750, 0.750, 0.750)

=====

[5]
BeZnFe2: optimized geometry, PBE.

Calculated values
The calculated formation energy is 0.042 eV per atom. The value obtained for the excess energy over the best structure of this formula in the dataset is 120 meV/atom. The value obtained for the mass density is 7003 kg/m3. As for the energy: -21.76 eV for the cell shown.

abc: 3.967 3.967 3.967
angles: 60.00 60.00 60.00
Sites, in units of the cell vectors:
Be (0.500, 0.500, 0.500)
Fe (0.250, 0.250, 0.250)
Fe (0.000, 0.000, 0.000)
Zn (0.750, 0.750, 0.750)

=====

[6]
Pm5Sm2Mg5: optimized geometry, PBE.

Calculated values
The calculated formation energy is -0.038 eV per atom. The value obtained for the mass density is 5316 kg/m3. As for the energy: -41.62 eV for the cell shown.

abc: 3.721 8.762 12.329
angles: 113.57 90.00 102.26
Sites, in units of the cell vectors:
Pm (0.671, 0.341, 0.031)
Pm (0.565, 0.130, 0.246)
Pm (0.329, 0.659, 0.969)
Pm (0.435, 0.870, 0.754)
Pm (0.500, 0.000, 0.500)
Sm (0.115, 0.230, 0.761)
Sm (0.885, 0.770, 0.239)
Mg (0.762, 0.524, 0.714)
Mg (0.000, 0.000, 0.000)
Mg (0.828, 0.656, 0.501)
Mg (0.238, 0.476, 0.286)
Mg (0.172, 0.344, 0.499)

=====

[7]
In2SiS6: optimized geometry, PBE.

Calculated values
The value obtained for the mass density is 3933 kg/m3. The formation energy without anion corrections comes out at -0.224 eV/atom. As for the energy: -75.37 eV for the cell shown.

abc: 6.383 5.631 10.576
angles: 90.00 89.71 90.00
Sites, in units of the cell vectors:
S (0.378, 0.606, 0.808)
S (0.675, 0.186, 0.892)
S (0.200, 0.269, 0.025)
S (0.175, 0.314, 0.392)
S (0.700, 0.231, 0.525)
S (0.300, 0.769, 0.475)
S (0.122, 0.106, 0.692)
S (0.825, 0.686, 0.608)
S (0.800, 0.731, 0.975)
S (0.325, 0.814, 0.108)
S (0.878, 0.894, 0.308)
S (0.622, 0.394, 0.192)
In (0.013, 0.519, 0.193)
In (0.987, 0.481, 0.807)
In (0.487, 0.019, 0.307)
In (0.513, 0.981, 0.693)
Si (0.500, 0.500, 0.000)
Si (0.000, 0.000, 0.500)

=====

[8]
KAgBiCl6: optimized geometry, PBE.

Calculated values
The value obtained for the mass density is 3173 kg/m3. The formation energy without anion corrections comes out at -0.997 eV/atom. As for the energy: -27.88 eV for the cell shown.

abc: 7.312 6.942 6.918
angles: 87.89 85.94 58.17
Sites, in units of the cell vectors:
Cl (0.360, 0.028, 0.724)
Cl (0.366, 0.627, 0.306)
Cl (0.613, 0.027, 0.276)
Cl (0.646, 0.368, 0.748)
Cl (0.007, 0.627, 0.694)
Cl (0.987, 0.366, 0.253)
K (0.009, 0.982, 0.000)
Bi (0.677, 0.645, 0.500)
Ag (0.335, 0.330, 0.500)